## ZnAg2Hg2 (GGA-PBE)

Data for a geometry-optimized ZnAg2Hg2 structure.

Computed properties:
* energy above the lowest structure with this stoichiometry: 0 meV per atom
* energy relative to the elements: 0.1346 eV/atom
* spin magnetization: 0.00 Bohr magnetons per cell

Structure (POSCAR):
```
ZnAg2Hg2
1.0
6.904 0.000 0.000
0.000 6.904 0.000
0.000 0.000 4.380
Ag Zn Hg
4 2 4
direct
0.354 0.854 0.000
0.646 0.146 0.000
0.854 0.646 0.000
0.146 0.354 0.000
0.000 0.000 0.000
0.500 0.500 0.000
0.836 0.336 0.500
0.664 0.836 0.500
0.164 0.664 0.500
0.336 0.164 0.500
```

=====

## In2SbAu (GGA-PBE)

Data for a geometry-optimized In2SbAu structure.

Computed properties:
* energy above the lowest structure with this stoichiometry: 89 meV per atom
* spin magnetization: 0.00 Bohr magnetons per cell
* E_form (uncorrected): 0.01 eV per atom

Structure (POSCAR):
```
In2SbAu
1.0
3.409 0.000 0.000
0.000 3.409 0.000
0.000 0.000 8.595
In Au Sb
2 1 1
direct
0.000 0.000 0.961
0.500 0.500 0.249
0.500 0.500 0.757
0.000 0.000 0.533
```

=====

## Ac2HS (GGA-PBE)

Data for a geometry-optimized Ac2HS structure.

Computed properties:
* energy above the lowest structure with this stoichiometry: 359 meV per atom
* spin magnetization: 0.00 Bohr magnetons per cell

Structure (POSCAR):
```
Ac2HS
1.0
3.719 0.000 0.000
0.000 5.093 0.000
0.000 0.000 5.093
S H Ac
1 1 2
direct
0.500 0.500 0.500
0.500 0.000 0.000
0.000 0.500 0.000
0.000 0.000 0.500
```

=====

## BaScO (GGA-PBE)

Data for a geometry-optimized BaScO structure.

Computed properties:
* energy above the lowest structure with this stoichiometry: 0 meV per atom
* spin magnetization: 0.47 Bohr magnetons per cell
* E_form (uncorrected): -1.54 eV per atom

Structure (POSCAR):
```
BaScO
1.0
-4.696 -1.331 -4.463
2.086 -2.461 -1.461
-2.226 -0.886 2.607
O Sc Ba
1 1 1
direct
0.234 0.333 0.667
0.150 0.000 0.000
0.616 0.667 0.333
```

=====

## Sc3AuN (GGA-PBE)

Data for a geometry-optimized Sc3AuN structure.

Computed properties:
* spin magnetization: 0.00 Bohr magnetons per cell
* E_form (uncorrected): -0.94 eV per atom

Structure (POSCAR):
```
Sc3AuN
1.0
15.834 0.000 4.100
4.954 2.254 -1.290
-4.954 2.254 1.290
Au Sc N
2 6 2
direct
0.880 0.443 0.557
0.120 0.557 0.443
0.312 0.716 0.284
0.820 0.824 0.176
0.688 0.284 0.716
0.557 0.762 0.238
0.180 0.176 0.824
0.443 0.238 0.762
0.434 0.738 0.262
0.566 0.262 0.738
```

=====

## Nd7Sb2Pd2 (GGA-PBE)

Data for a geometry-optimized Nd7Sb2Pd2 structure.

Computed properties:
* spin magnetization: 0.00 Bohr magnetons per cell
* E_form (uncorrected): -0.48 eV per atom

Structure (POSCAR):
```
Nd7Sb2Pd2
1.0
7.131 -0.003 -0.712
0.003 7.083 0.003
-1.155 -0.003 7.073
Nd Pd Sb
7 2 2
direct
0.500 0.240 0.500
0.500 0.760 0.500
0.500 0.739 0.000
0.000 0.261 0.500
0.000 0.000 0.000
0.000 0.739 0.500
0.500 0.261 0.000
0.725 0.000 0.275
0.275 0.000 0.725
0.190 0.500 0.190
0.810 0.500 0.810
```